Compound: PuTlCrO6
Source: Alexandria via LeMat-Bulk
Functional: GGA+U
Structure: optimized geometry

Cell lengths 5.371, 5.371, 9.658 Å; angles 90.00, 90.00, 120.00 degrees
Atoms (fractional coordinates):
O 0.993 0.640 0.362
O 0.647 0.640 0.138
O 0.360 0.353 0.362
O 0.007 0.360 0.638
O 0.353 0.360 0.862
O 0.360 0.007 0.138
O 0.007 0.647 0.862
O 0.993 0.353 0.138
O 0.640 0.993 0.862
O 0.353 0.993 0.638
O 0.647 0.007 0.362
O 0.640 0.647 0.638
Tl 0.000 0.000 0.500
Tl 0.000 0.000 0.000
Pu 0.333 0.667 0.250
Pu 0.667 0.333 0.750
Cr 0.333 0.667 0.750
Cr 0.667 0.333 0.250

Properties
Final energy in eV/atom: -7.79
D(E_F) in states/eV per cell: 11.8
Size of the total moment in μB per formula unit: 5.002